# 1
CdRhI2O after structural relaxation, computed with PBE.

```
CdRhI2O
1.0
5.8925 0.0000 0.0000
0.0000 5.8925 0.0000
0.0000 0.0000 4.0424
Rh I O Cd
1 2 1 1
Direct
0.5000 0.5000 0.5000
0.0000 0.5000 0.0000
0.5000 0.0000 0.0000
0.0000 0.0000 0.5000
0.0000 0.0000 0.0000
```

- total moment (Bohr magnetons per cell) = 2.90
- D(E_F) (states/eV per atom) = 1.648
- calculated total energy (eV per atom) = -2.713
- relative energy among the computed polymorphs (eV per atom) = 0.715
- formation energy without anion corrections (eV/atom) = 0.552


# 2
BaCrNi after structural relaxation, computed with PBE.

```
BaCrNi
1.0
-3.5908 -1.8890 0.7502
1.3048 -3.3101 -2.0895
3.6089 -3.6615 8.0542
Cr Ni Ba
2 2 2
Direct
0.5000 0.5000 0.5000
0.0000 0.0000 0.5000
0.5000 0.0000 0.6411
0.0000 0.5000 0.3589
0.5000 0.0000 0.2013
0.0000 0.5000 0.7987
```

- total moment (Bohr magnetons per cell) = 7.38
- D(E_F) (states/eV per atom) = 1.916
- calculated total energy (eV per atom) = -5.399
- formation enthalpy at 0 K (eV/atom) = 0.38
- relative energy among the computed polymorphs (eV per atom) = 0.112


# 3
Ac2NbO6 after structural relaxation, computed with PBE.

```
Ac2NbO6
1.0
5.3772 0.0000 0.0000
0.0000 5.3772 0.0000
0.0000 0.0000 10.8858
O Ac Nb
12 4 2
Direct
0.6778 0.6778 0.6399
0.6778 0.6778 0.3601
0.3222 0.3222 0.6399
0.8222 0.1778 0.8601
0.1778 0.8222 0.8601
0.8222 0.1778 0.1399
0.2661 0.2661 0.0000
0.1778 0.8222 0.1399
0.7661 0.2339 0.5000
0.3222 0.3222 0.3601
0.2339 0.7661 0.5000
0.7339 0.7339 0.0000
0.0000 0.0000 0.3327
0.5000 0.5000 0.1673
0.5000 0.5000 0.8327
0.0000 0.0000 0.6673
0.0000 0.0000 0.0000
0.5000 0.5000 0.5000
```

- total moment (Bohr magnetons per cell) = 2.01
- D(E_F) (states/eV per atom) = 0.775
- calculated total energy (eV per atom) = -8.124
- relative energy among the computed polymorphs (eV per atom) = 0.064
- formation energy without anion corrections (eV/atom) = -2.787


Question: What is the relative energy among the computed polymorphs in the first record?
Answer: 0.715 eV per atom


Question: Number 3 is which compound?
Answer: Ac2NbO6


Copy entry 1 word for word.
CdRhI2O after structural relaxation, computed with PBE.

```
CdRhI2O
1.0
5.8925 0.0000 0.0000
0.0000 5.8925 0.0000
0.0000 0.0000 4.0424
Rh I O Cd
1 2 1 1
Direct
0.5000 0.5000 0.5000
0.0000 0.5000 0.0000
0.5000 0.0000 0.0000
0.0000 0.0000 0.5000
0.0000 0.0000 0.0000
```

- total moment (Bohr magnetons per cell) = 2.90
- D(E_F) (states/eV per atom) = 1.648
- calculated total energy (eV per atom) = -2.713
- relative energy among the computed polymorphs (eV per atom) = 0.715
- formation energy without anion corrections (eV/atom) = 0.552